Computed, not measured: a geometry-optimized Hf3PbS structure at the GGA-PBEsol level of DFT.

Output
formation energy (no corrections): -140 kJ/mol of formula units
DOS at the Fermi energy: 4.1 states/eV/f.u.
volume: 106.9 Å³/cell

Unit cell a=4.745 b=4.745 c=4.745 alpha=90.00 beta=90.00 gamma=90.00
Fractional positions:
S 0.000 0.000 0.000
Hf 0.500 0.000 0.000
Hf 0.000 0.500 0.000
Hf 0.000 0.000 0.500
Pb 0.500 0.500 0.500